Crystalline MgRh2W at its relaxed geometry, computed with GGA-PBEsol.

CIF file:
```
data_MgRh2W
_cell_length_a 8.635
_cell_length_b 2.739
_cell_length_c 5.047
_cell_angle_alpha 90.00
_cell_angle_beta 97.13
_cell_angle_gamma 90.00
_space_group_name_H-M_alt 'P 1'
_space_group_IT_number 1
_space_group_name_Hall 'P 1'
loop_
_atom_site_label
_atom_site_fract_x
_atom_site_fract_y
_atom_site_fract_z
Mg1 0.000 0.000 0.000
Mg2 0.500 0.500 0.000
Rh1 0.250 0.000 0.742
Rh2 0.250 0.500 0.258
Rh3 0.750 0.000 0.258
Rh4 0.750 0.500 0.742
W1 0.000 0.500 0.500
W2 0.500 0.000 0.500
```

As for the volume: 14.8 Å³ per atom. The energy relative to the elements is 14 meV per atom.


Crystalline MgRh2W at its relaxed geometry, computed with GGA-PBEsol.

CIF file:
```
data_MgRh2W
_cell_length_a 2.810
_cell_length_b 3.584
_cell_length_c 5.865
_cell_angle_alpha 90.00
_cell_angle_beta 90.00
_cell_angle_gamma 90.00
_space_group_name_H-M_alt 'P 1'
_space_group_IT_number 1
_space_group_name_Hall 'P 1'
loop_
_atom_site_label
_atom_site_fract_x
_atom_site_fract_y
_atom_site_fract_z
Mg1 0.000 0.000 0.000
Rh1 0.500 0.500 0.261
Rh2 0.500 0.500 0.739
W1 0.000 0.000 0.500
```

As for the volume: 14.8 Å³ per atom. The energy relative to the elements is -217 meV per atom.


Crystalline MgRh2W at its relaxed geometry, computed with GGA-PBEsol.

CIF file:
```
data_MgRh2W
_cell_length_a 4.561
_cell_length_b 4.561
_cell_length_c 2.824
_cell_angle_alpha 90.00
_cell_angle_beta 90.00
_cell_angle_gamma 90.00
_space_group_name_H-M_alt 'P 1'
_space_group_IT_number 1
_space_group_name_Hall 'P 1'
loop_
_atom_site_label
_atom_site_fract_x
_atom_site_fract_y
_atom_site_fract_z
Mg1 0.000 0.000 0.000
Rh1 0.000 0.500 0.500
Rh2 0.500 0.000 0.500
W1 0.500 0.500 0.000
```

As for the volume: 14.7 Å³ per atom. The energy relative to the elements is -148 meV per atom.


Crystalline Mg3RhW at its relaxed geometry, computed with GGA-PBEsol.

CIF file:
```
data_Mg3RhW
_cell_length_a 5.015
_cell_length_b 5.015
_cell_length_c 5.015
_cell_angle_alpha 90.00
_cell_angle_beta 90.00
_cell_angle_gamma 90.00
_space_group_name_H-M_alt 'P 1'
_space_group_IT_number 1
_space_group_name_Hall 'P 1'
loop_
_atom_site_label
_atom_site_fract_x
_atom_site_fract_y
_atom_site_fract_z
Mg1 0.000 0.000 0.500
Mg2 0.000 0.500 0.000
Mg3 0.500 0.000 0.000
Rh1 0.500 0.500 0.500
W1 0.000 0.000 0.000
```

As for the volume: 25.2 Å³ per atom. The energy relative to the elements is 1929 meV per atom.


Crystalline MgRh2W at its relaxed geometry, computed with GGA-PBEsol.

CIF file:
```
data_MgRh2W
_cell_length_a 9.319
_cell_length_b 2.780
_cell_length_c 4.634
_cell_angle_alpha 90.00
_cell_angle_beta 100.83
_cell_angle_gamma 90.00
_space_group_name_H-M_alt 'P 1'
_space_group_IT_number 1
_space_group_name_Hall 'P 1'
loop_
_atom_site_label
_atom_site_fract_x
_atom_site_fract_y
_atom_site_fract_z
Mg1 0.000 0.000 0.000
Mg2 0.500 0.500 0.000
Rh1 0.249 0.500 0.162
Rh2 0.486 0.000 0.493
Rh3 0.749 0.000 0.162
Rh4 0.986 0.500 0.493
W1 0.229 0.000 0.655
W2 0.729 0.500 0.655
```

As for the volume: 14.7 Å³ per atom. The energy relative to the elements is -154 meV per atom.


Crystalline Y2MgRh at its relaxed geometry, computed with GGA-PBEsol.

CIF file:
```
data_Y2MgRh
_cell_length_a 3.806
_cell_length_b 3.806
_cell_length_c 25.354
_cell_angle_alpha 90.00
_cell_angle_beta 90.00
_cell_angle_gamma 120.00
_space_group_name_H-M_alt 'P 1'
_space_group_IT_number 1
_space_group_name_Hall 'P 1'
loop_
_atom_site_label
_atom_site_fract_x
_atom_site_fract_y
_atom_site_fract_z
Y1 0.000 0.000 0.229
Y2 0.000 0.000 0.771
Y3 0.333 0.667 0.437
Y4 0.333 0.667 0.896
Y5 0.667 0.333 0.104
Y6 0.667 0.333 0.563
Mg1 0.000 0.000 0.000
Mg2 0.333 0.667 0.667
Mg3 0.667 0.333 0.333
Rh1 0.000 0.000 0.500
Rh2 0.333 0.667 0.167
Rh3 0.667 0.333 0.833
```

As for the volume: 26.5 Å³ per atom. The energy relative to the elements is -316 meV per atom.


Crystalline Y2Mg2Rh at its relaxed geometry, computed with GGA-PBEsol.

CIF file:
```
data_Y2Mg2Rh
_cell_length_a 3.658
_cell_length_b 3.658
_cell_length_c 18.045
_cell_angle_alpha 90.00
_cell_angle_beta 90.00
_cell_angle_gamma 90.00
_space_group_name_H-M_alt 'P 1'
_space_group_IT_number 1
_space_group_name_Hall 'P 1'
loop_
_atom_site_label
_atom_site_fract_x
_atom_site_fract_y
_atom_site_fract_z
Y1 0.000 0.000 0.086
Y2 0.000 0.000 0.914
Y3 0.500 0.500 0.414
Y4 0.500 0.500 0.586
Mg1 0.000 0.500 0.250
Mg2 0.000 0.500 0.750
Mg3 0.500 0.000 0.250
Mg4 0.500 0.000 0.750
Rh1 0.000 0.000 0.500
Rh2 0.500 0.500 0.000
```

As for the volume: 24.2 Å³ per atom. The energy relative to the elements is -3 meV per atom.


Crystalline Y2MgRh at its relaxed geometry, computed with GGA-PBEsol.

CIF file:
```
data_Y2MgRh
_cell_length_a 4.911
_cell_length_b 4.911
_cell_length_c 3.642
_cell_angle_alpha 90.00
_cell_angle_beta 90.00
_cell_angle_gamma 90.00
_space_group_name_H-M_alt 'P 1'
_space_group_IT_number 1
_space_group_name_Hall 'P 1'
loop_
_atom_site_label
_atom_site_fract_x
_atom_site_fract_y
_atom_site_fract_z
Y1 0.000 0.500 0.000
Y2 0.500 0.000 0.000
Mg1 0.000 0.000 0.500
Rh1 0.500 0.500 0.500
```

As for the volume: 22.0 Å³ per atom. The energy relative to the elements is -360 meV per atom.